Entry from Alexandria via LeMat-Bulk: a geometry-optimized TlCo2Ir structure (PBE).

a b c (Å): 2.8600 2.8600 7.2398
angles (deg): 90.00 90.00 89.98
Last column: magnetic moment on the atom in μB.
Atoms (fractional coordinates):
1 Co 0.0000 0.0000 0.0295  1.35
2 Ir 0.5000 0.5000 0.2500  0.57
3 Tl 0.5000 0.5000 0.7500  -0.03
4 Co 0.0000 0.0000 0.4705  1.35

Summary:
- Distance to the lowest polymorph of the same formula: 8 meV per atom
- Space-group type: P4/mmm, No. 123
- Raw total energy: -5.9373 eV per atom